5
Lattice="3.928 0.000 0.000 0.000 3.928 0.000 0.000 0.000 6.620" Properties=species:S:1:pos:R:3 comment="GeIBrO2 (PBE, optimized geometry)" e_tot_ry_per_atom=-0.272 dos_at_fermi_per_ev_cell=2.084 sg="P4/mmm, No. 123" pbc="T T T"
O 0.000 1.964 0.000
O 1.964 0.000 0.000
Ge 0.000 0.000 0.000
Br 1.964 1.964 3.310
I 0.000 0.000 3.310

5
Lattice="-3.537 1.581 -1.198 -1.789 -1.483 3.323 1.411 5.642 3.278" Properties=species:S:1:pos:R:3 comment="GeIBrO2 (PBE, optimized geometry)" e_tot_ry_per_atom=-0.216 dos_at_fermi_per_ev_cell=2.222 sg="P4/mmm, No. 123" pbc="T T T"
Ge -1.957 2.870 2.701
I 0.706 2.821 1.639
O -0.894 -0.742 1.661
O -1.768 0.790 -0.599
Br 0.000 0.000 0.000

Number 1: mass density 5.1 Mg/m³. Number 2: mass density 4.7 Mg/m³.